# 1
Na3AlTl2O6 | PBE-GGA | relaxed

a b c (Å): 5.6573 9.7775 5.8349
angles (deg): 90.00 109.26 90.00
Space group C2/m (No. 12)
Asymmetric unit:
Na (0.0000, 0.0000, 0.0000) (multiplicity 2)
Na (0.0000, 0.3370, 0.0000) (multiplicity 4)
Al (0.0000, 0.5000, 0.5000) (multiplicity 2)
Tl (0.0000, 0.1673, 0.5000) (multiplicity 4)
O (0.2154, 0.3541, 0.7111) (multiplicity 8)
O (0.2215, 0.5000, 0.2971) (multiplicity 4)

Calculated values
Total DFT energy (no corrections) ... -120.37 eV for the cell shown

=====

# 2
CaYPtAu | PBE-GGA | relaxed

a b c (Å): 4.4201 3.8751 11.0861
angles (deg): 90.00 90.00 90.00
Space group Amm2 (No. 38)
Asymmetric unit:
Ca (0.0000, 0.0000, 0.0000) (multiplicity 2)
Y (0.5000, 0.0000, 0.7196) (multiplicity 2)
Pt (0.0000, 0.0000, 0.2682) (multiplicity 2)
Au (0.5000, 0.0000, 0.4400) (multiplicity 2)

Calculated values
Energy of formation ... -965 meV/atom
Total DFT energy (no corrections) ... -43.29 eV for the cell shown

=====

# 3
PmPrF6 | PBE-GGA | relaxed

a b c (Å): 5.9374 5.9436 6.5560
angles (deg): 63.18 63.14 60.13
Space group P-1 (No. 2)
Asymmetric unit:
Pm (0.0000, 0.0000, 0.0000) (multiplicity 1)
Pr (0.5000, 0.5000, 0.5000) (multiplicity 1)
F (0.1458, 0.7521, 0.7528) (multiplicity 2)
F (0.2472, 0.6511, 0.2472) (multiplicity 2)
F (0.3494, 0.1456, 0.7526) (multiplicity 2)

Calculated values
Total DFT energy (no corrections) ... -52.84 eV for the cell shown

=====

# 4
Pu2InPd3 | PBE-GGA | relaxed

a b c (Å): 8.4829 10.2831 5.6140
angles (deg): 90.00 90.00 90.00
Space group Cmcm (No. 63)
Asymmetric unit:
Pu (0.1684, 0.2462, 0.2500) (multiplicity 8)
In (0.0000, 0.0685, 0.7500) (multiplicity 4)
Pd (0.0000, 0.3347, 0.7500) (multiplicity 4)
Pd (0.2120, 0.5000, 0.0000) (multiplicity 8)

Calculated values
Energy of formation ... -386 meV/atom
Total DFT energy (no corrections) ... -197.19 eV for the cell shown

=====

# 5
Tb3TiTl3Te8 | PBE-GGA | relaxed

a b c (Å): 8.6753 8.6753 24.8317
angles (deg): 90.00 90.00 120.00
Space group R-3m (No. 166, hexagonal axes)
Asymmetric unit:
Tb (0.0000, 0.5000, 0.0000) (multiplicity 9)
Ti (0.0000, 0.0000, 0.0000) (multiplicity 3)
Tl (0.0000, 0.5000, 0.5000) (multiplicity 9)
Te (0.0000, 0.0000, 0.2610) (multiplicity 6)
Te (0.0251, 0.5126, 0.7343) (multiplicity 18)

Calculated values
Total DFT energy (no corrections) ... -204.53 eV for the cell shown

=====

# 6
TbSmGaSn | PBE-GGA | relaxed

a b c (Å): 4.2009 4.5211 11.3009
angles (deg): 90.00 90.00 90.00
Space group Amm2 (No. 38)
Asymmetric unit:
Tb (0.0000, 0.0000, 0.0000) (multiplicity 2)
Sm (0.5000, 0.0000, 0.7211) (multiplicity 2)
Ga (0.0000, 0.0000, 0.2721) (multiplicity 2)
Sn (0.5000, 0.0000, 0.4371) (multiplicity 2)

Calculated values
Energy of formation ... -710 meV/atom
Total DFT energy (no corrections) ... -38.44 eV for the cell shown

=====

# 7
In2Bi3Pb2 | PBE-GGA | relaxed

a b c (Å): 13.1287 4.5013 7.5359
angles (deg): 90.00 91.99 90.00
Space group C2/m (No. 12)
Asymmetric unit:
In (0.0533, 0.0000, 0.2052) (multiplicity 4)
Bi (0.0000, 0.5000, 0.5000) (multiplicity 2)
Bi (0.2305, 0.5000, 0.3303) (multiplicity 4)
Pb (0.1420, 0.5000, 0.8982) (multiplicity 4)

Calculated values
Energy of formation ... 55 meV/atom
Total DFT energy (no corrections) ... -48.31 eV for the cell shown

=====

# 8
YSiSe2 | PBE-GGA | relaxed

a b c (Å): 4.0079 4.0079 25.3677
angles (deg): 90.00 90.00 120.00
Space group R-3m (No. 166, hexagonal axes)
Asymmetric unit:
Y (0.0000, 0.0000, 0.0000) (multiplicity 3)
Si (0.0000, 0.0000, 0.5000) (multiplicity 3)
Se (0.0000, 0.0000, 0.3984) (multiplicity 6)

Calculated values
Total DFT energy (no corrections) ... -64.82 eV for the cell shown

=====

# 9
K2ReSn | PBE-GGA | relaxed

a b c (Å): 13.2393 13.2393 5.1606
angles (deg): 90.00 90.00 90.00
Space group I-42d (No. 122)
Asymmetric unit:
K (0.0242, 0.2500, 0.1250) (multiplicity 8)
Re (0.0000, 0.0000, 0.0000) (multiplicity 4)
Sn (0.0000, 0.0000, 0.5000) (multiplicity 4)

Calculated values
Energy of formation ... 1029 meV/atom
Total DFT energy (no corrections) ... -58.12 eV for the cell shown

=====

# 10
Te2PtRh | PBE-GGA | relaxed

a b c (Å): 6.7910 6.7910 6.7910
angles (deg): 90.00 90.00 90.00
Space group Fm-3m (No. 225)
Asymmetric unit:
Te (0.2500, 0.2500, 0.2500) (multiplicity 8)
Pt (0.0000, 0.0000, 0.0000) (multiplicity 4)
Rh (0.0000, 0.0000, 0.5000) (multiplicity 4)

Calculated values
Total DFT energy (no corrections) ... -77.86 eV for the cell shown

=====

Among the records above, which one has the lowest total DFT energy (no corrections)? Tb3TiTl3Te8